Record 1
{
  "formula": "Ag2Mo",
  "functional": "PBE",
  "state": "relaxed",
  "lattice": [[6.409, 0.000, 0.000], [0.000, 6.409, 0.000], [0.000, 0.000, 6.409]],
  "species": ["Ag", "Ag", "Ag", "Ag", "Ag", "Ag", "Ag", "Ag", "Mo", "Mo", "Mo", "Mo"],
  "fractional_positions": [[0.124, 0.124, 0.124], [0.124, 0.376, 0.624], [0.376, 0.624, 0.124], [0.376, 0.876, 0.624], [0.624, 0.124, 0.376], [0.624, 0.376, 0.876], [0.876, 0.624, 0.376], [0.876, 0.876, 0.876], [0.000, 0.000, 0.500], [0.000, 0.500, 0.000], [0.500, 0.000, 0.000], [0.500, 0.500, 0.500]],
  "de_polymorph_kj_per_mol_atoms": 113.3,
  "space_group": "Pa-3",
  "m_tot_mub_per_atom": 0.77,
  "crystal_system": "cubic",
  "e_form_mev_per_atom": 1565.8
}

Record 2
{
  "formula": "NaFe2W",
  "functional": "PBE",
  "state": "relaxed",
  "lattice": [[-3.393, 3.393, 2.762], [3.393, -3.393, 2.762], [3.393, 3.393, -2.762]],
  "species": ["Na", "Na", "Fe", "Fe", "Fe", "Fe", "W", "W"],
  "fractional_positions": [[0.000, 0.000, 0.000], [0.750, 0.250, 0.500], [0.160, 0.625, 0.035], [0.375, 0.410, 0.535], [0.590, 0.125, 0.965], [0.875, 0.840, 0.465], [0.250, 0.750, 0.500], [0.500, 0.500, 0.000]],
  "de_polymorph_kj_per_mol_atoms": 35.9,
  "space_group": "I-42d",
  "m_tot_mub_per_atom": 0.48,
  "crystal_system": "tetragonal",
  "e_form_mev_per_atom": 1195.8
}